[1]
Ti8GaGe2: relaxed, PBE.

## Properties
size of the total moment	0.00	μB per formula unit
density	5.5	Mg/m³
uncorrected energy	-0.266	hartree per atom
symmetry	C2/m

Cell: 4.0703 6.7941 7.3608 Å, 111.94 106.05 90.00°
Element x y z (fractional)
Ti (0.3206, 0.0863, 0.6411)
Ti (0.5939, 0.4496, 0.1878)
Ti (0.6794, 0.9137, 0.3589)
Ti (0.9589, 0.2430, 0.9177)
Ti (0.4061, 0.5504, 0.8122)
Ti (0.0411, 0.7570, 0.0823)
Ti (0.8476, 0.7865, 0.6953)
Ti (0.1524, 0.2135, 0.3047)
Ga (0.5000, 0.0000, 0.0000)
Ge (0.7893, 0.3397, 0.5787)
Ge (0.2107, 0.6603, 0.4213)

[2]
SmGa3Ni3: relaxed, PBE.

## Properties
size of the total moment	0.00	μB per formula unit
density	6.7	Mg/m³
uncorrected energy	-0.167	hartree per atom
symmetry	Pm-3n

Cell: 6.4375 6.4375 6.4375 Å, 90.00 90.00 90.00°
Element x y z (fractional)
Ni (0.0000, 0.5000, 0.7500)
Ni (0.5000, 0.7500, 0.0000)
Ni (0.2500, 0.0000, 0.5000)
Ni (0.7500, 0.0000, 0.5000)
Ni (0.5000, 0.2500, 0.0000)
Ni (0.0000, 0.5000, 0.2500)
Ga (0.7500, 0.5000, 0.0000)
Ga (0.5000, 0.0000, 0.7500)
Ga (0.2500, 0.5000, 0.0000)
Ga (0.5000, 0.0000, 0.2500)
Ga (0.0000, 0.7500, 0.5000)
Ga (0.0000, 0.2500, 0.5000)
Sm (0.0000, 0.0000, 0.0000)
Sm (0.5000, 0.5000, 0.5000)

[3]
AgAsPb: relaxed, PBE.

## Properties
size of the total moment	0.00	μB per formula unit
density	9.2	Mg/m³
uncorrected energy	-0.131	hartree per atom
symmetry	Imm2
energy above the lowest structure with this stoichiometry	127	meV per atom

Cell: 6.1000 6.1000 6.1000 Å, 149.66 141.77 49.57°
Element x y z (fractional)
Pb (0.6623, 0.6623, 0.0000)
Ag (0.9706, 0.9706, 0.0000)
As (0.3670, 0.3670, 0.0000)

[4]
RbIrN2F: relaxed, PBE.

## Properties
size of the total moment	1.69	μB per formula unit
formation energy (no corrections)	2.845	eV per atom
density	6.0	Mg/m³
uncorrected energy	-0.104	hartree per atom
symmetry	P4/mmm
energy above the lowest structure with this stoichiometry	3085	meV per atom

Cell: 4.4354 4.4354 4.5947 Å, 90.00 90.00 90.00°
Element x y z (fractional)
N (0.5000, 0.0000, 0.0000)
N (0.0000, 0.5000, 0.0000)
F (0.0000, 0.0000, 0.5000)
Rb (0.0000, 0.0000, 0.0000)
Ir (0.5000, 0.5000, 0.5000)

[5]
Tb12ScTl3: relaxed, PBE.

## Properties
size of the total moment	0.00	μB per formula unit
density	9.1	Mg/m³
uncorrected energy	-0.163	hartree per atom
symmetry	P4/mmm

Cell: 4.8633 4.8633 19.7562 Å, 90.00 90.00 90.00°
Element x y z (fractional)
Tb (0.5000, 0.0000, 0.8740)
Tb (0.5000, 0.0000, 0.3757)
Tb (0.0000, 0.5000, 0.3757)
Tb (0.0000, 0.5000, 0.6243)
Tb (0.5000, 0.5000, 0.5000)
Tb (0.5000, 0.5000, 0.2514)
Tb (0.0000, 0.5000, 0.8740)
Tb (0.0000, 0.5000, 0.1260)
Tb (0.5000, 0.0000, 0.1260)
Tb (0.5000, 0.5000, 0.0000)
Tb (0.5000, 0.5000, 0.7486)
Tb (0.5000, 0.0000, 0.6243)
Tl (0.0000, 0.0000, 0.5000)
Tl (0.0000, 0.0000, 0.7455)
Tl (0.0000, 0.0000, 0.2545)
Sc (0.0000, 0.0000, 0.0000)

[6]
KCrTe2: relaxed, PBE.

## Properties
size of the total moment	3.61	μB per formula unit
formation energy (no corrections)	-0.326	eV per atom
density	4.6	Mg/m³
uncorrected energy	-0.168	hartree per atom
symmetry	P2/m

Cell: 4.0419 3.6993 8.3274 Å, 83.75 90.00 90.00°
Element x y z (fractional)
Te (0.0000, 0.1725, 0.0368)
Te (0.0000, 0.3275, 0.4632)
K (0.5000, 0.7500, 0.7500)
Cr (0.5000, 0.2500, 0.2500)

[7]
C3SeF: relaxed, PBE.

## Properties
size of the total moment	0.00	μB per formula unit
formation energy (no corrections)	2.993	eV per atom
density	3.7	Mg/m³
uncorrected energy	-0.133	hartree per atom
symmetry	Pm-3m
energy above the lowest structure with this stoichiometry	0	meV per atom

Cell: 3.9102 3.9102 3.9102 Å, 90.00 90.00 90.00°
Element x y z (fractional)
C (0.0000, 0.0000, 0.5000)
C (0.0000, 0.5000, 0.0000)
C (0.5000, 0.0000, 0.0000)
Se (0.0000, 0.0000, 0.0000)
F (0.5000, 0.5000, 0.5000)

[8]
LiClF: relaxed, PBE.

## Properties
size of the total moment	0.00	μB per formula unit
formation energy (no corrections)	-1.894	eV per atom
density	1.8	Mg/m³
uncorrected energy	-0.139	hartree per atom
symmetry	P-1
energy above the lowest structure with this stoichiometry	0	meV per atom

Cell: 3.8132 3.8656 7.7518 Å, 89.73 80.52 89.95°
Element x y z (fractional)
F (0.3261, 0.6331, 0.0417)
F (0.8011, 0.1340, 0.1191)
Cl (0.4931, 0.7983, 0.7045)
Cl (0.6340, 0.9687, 0.4563)
Li (0.8099, 0.6331, 0.0912)
Li (0.3173, 0.1340, 0.0696)

[9]
Ga2PbCl2: relaxed, PBE.

## Properties
size of the total moment	0.00	μB per formula unit
formation energy (no corrections)	-0.219	eV per atom
density	5.3	Mg/m³
uncorrected energy	-0.107	hartree per atom
symmetry	I4/mmm
energy above the lowest structure with this stoichiometry	176	meV per atom

Cell: 4.5792 4.5792 7.0384 Å, 71.02 71.02 90.00°
Element x y z (fractional)
Cl (0.7500, 0.2500, 0.5000)
Cl (0.2500, 0.7500, 0.5000)
Ga (0.3833, 0.3833, 0.2335)
Ga (0.6167, 0.6167, 0.7665)
Pb (0.0000, 0.0000, 0.0000)

[10]
BeTcTe4: relaxed, PBE.

## Properties
size of the total moment	4.62	μB per formula unit
formation energy (no corrections)	1.380	eV per atom
density	5.9	Mg/m³
uncorrected energy	-0.113	hartree per atom
symmetry	F-43m

Cell: 6.2754 6.2754 6.2754 Å, 60.00 60.00 60.00°
Element x y z (fractional)
Te (0.8746, 0.3751, 0.3751)
Te (0.3751, 0.3751, 0.8746)
Te (0.3751, 0.3751, 0.3751)
Te (0.3751, 0.8746, 0.3751)
Tc (0.0000, 0.0000, 0.0000)
Be (0.7500, 0.7500, 0.7500)

[11]
YSc2W: relaxed, PBE.

## Properties
size of the total moment	0.00	μB per formula unit
density	6.5	Mg/m³
uncorrected energy	-0.282	hartree per atom
symmetry	P4mm
energy above the lowest structure with this stoichiometry	87	meV per atom

Cell: 3.0556 3.0556 9.8594 Å, 90.00 90.00 90.00°
Element x y z (fractional)
Y (0.5000, 0.5000, 0.7186)
Sc (0.5000, 0.5000, 0.2808)
Sc (0.0000, 0.0000, 0.0122)
W (0.0000, 0.0000, 0.4884)

[12]
AlTe2C: relaxed, PBE.

## Properties
size of the total moment	0.00	μB per formula unit
formation energy (no corrections)	1.443	eV per atom
density	6.2	Mg/m³
uncorrected energy	-0.124	hartree per atom
symmetry	Fm-3m
energy above the lowest structure with this stoichiometry	472	meV per atom

Cell: 4.8001 4.8001 4.8001 Å, 60.00 60.00 60.00°
Element x y z (fractional)
Te (0.2500, 0.2500, 0.2500)
Te (0.7500, 0.7500, 0.7500)
C (0.0000, 0.0000, 0.0000)
Al (0.5000, 0.5000, 0.5000)